Record 1
First-principles (PBE-GGA) data for a relaxed ScCdGePd crystal, as listed in Alexandria via LeMat-Bulk.

Lattice parameters (Å, degrees): 6.649 6.649 6.649 90.00 90.00 90.00
Fractional coordinates of all 16 atoms:
Sc 0.000 0.000 0.000
Sc 0.000 0.500 0.500
Sc 0.500 0.000 0.500
Sc 0.500 0.500 0.000
Cd 0.000 0.000 0.500
Cd 0.000 0.500 0.000
Cd 0.500 0.000 0.000
Cd 0.500 0.500 0.500
Ge 0.250 0.250 0.750
Ge 0.250 0.750 0.250
Ge 0.750 0.250 0.250
Ge 0.750 0.750 0.750
Pd 0.250 0.250 0.250
Pd 0.250 0.750 0.750
Pd 0.750 0.250 0.750
Pd 0.750 0.750 0.250

Properties
Energy of formation, meV/atom: -475
Space-group type: No. 216


Record 2
First-principles (PBE-GGA) data for a relaxed Cd2Si2GePd5 crystal, as listed in Alexandria via LeMat-Bulk.

Lattice parameters (Å, degrees): 10.054 10.054 3.259 90.00 90.00 90.00
Fractional coordinates of all 20 atoms:
Cd 0.169 0.331 0.000
Cd 0.331 0.831 0.000
Cd 0.669 0.169 0.000
Cd 0.831 0.669 0.000
Si 0.131 0.631 0.000
Si 0.369 0.131 0.000
Si 0.631 0.869 0.000
Si 0.869 0.369 0.000
Ge 0.000 0.000 0.000
Ge 0.500 0.500 0.000
Pd 0.000 0.500 0.500
Pd 0.083 0.803 0.500
Pd 0.197 0.083 0.500
Pd 0.303 0.583 0.500
Pd 0.417 0.303 0.500
Pd 0.500 0.000 0.500
Pd 0.583 0.697 0.500
Pd 0.697 0.417 0.500
Pd 0.803 0.917 0.500
Pd 0.917 0.197 0.500

Properties
Formation energy (no corrections), eV per atom: -0.382
Space-group type: No. 127


Record 3
First-principles (PBE-GGA) data for a relaxed Sm2CdGe4Pd3 crystal, as listed in Alexandria via LeMat-Bulk.

Lattice parameters (Å, degrees): 4.267 4.267 10.855 90.00 90.00 90.00
Fractional coordinates of all 10 atoms:
Sm 0.000 0.500 0.244
Sm 0.500 0.000 0.756
Cd 0.000 0.000 0.500
Ge 0.000 0.000 0.000
Ge 0.000 0.500 0.649
Ge 0.500 0.000 0.351
Ge 0.500 0.500 0.000
Pd 0.000 0.500 0.874
Pd 0.500 0.000 0.126
Pd 0.500 0.500 0.500

Properties
Energy of formation, meV/atom: -696
Space-group type: No. 115


Record 4
First-principles (PBE-GGA) data for a relaxed CdSn2Ge2Pd5 crystal, as listed in Alexandria via LeMat-Bulk.

Lattice parameters (Å, degrees): 10.186 10.186 3.532 90.00 90.00 90.00
Fractional coordinates of all 20 atoms:
Cd 0.000 0.000 0.000
Cd 0.500 0.500 0.000
Sn 0.176 0.324 0.000
Sn 0.324 0.824 0.000
Sn 0.676 0.176 0.000
Sn 0.824 0.676 0.000
Ge 0.135 0.635 0.000
Ge 0.365 0.135 0.000
Ge 0.635 0.865 0.000
Ge 0.865 0.365 0.000
Pd 0.000 0.500 0.500
Pd 0.008 0.783 0.500
Pd 0.217 0.008 0.500
Pd 0.283 0.508 0.500
Pd 0.492 0.283 0.500
Pd 0.500 0.000 0.500
Pd 0.508 0.717 0.500
Pd 0.717 0.492 0.500
Pd 0.783 0.992 0.500
Pd 0.992 0.217 0.500

Properties
Energy of formation, meV/atom: -309
Space-group type: No. 127


Record 5
First-principles (PBE-GGA) data for a relaxed SrCdGePd3 crystal, as listed in Alexandria via LeMat-Bulk.

Lattice parameters (Å, degrees): 8.747 8.747 5.909 90.00 90.00 140.99
Fractional coordinates of all 12 atoms:
Sr 0.221 0.779 0.750
Sr 0.779 0.221 0.250
Cd 0.114 0.886 0.250
Cd 0.886 0.114 0.750
Ge 0.422 0.578 0.250
Ge 0.578 0.422 0.750
Pd 0.243 0.243 0.000
Pd 0.243 0.243 0.500
Pd 0.276 0.724 0.250
Pd 0.724 0.276 0.750
Pd 0.757 0.757 0.000
Pd 0.757 0.757 0.500

Properties
Energy of formation, meV/atom: -409
Space-group type: No. 63


Record 6
First-principles (PBE-GGA) data for a relaxed Sr2CdGe4Pd3 crystal, as listed in Alexandria via LeMat-Bulk.

Lattice parameters (Å, degrees): 4.443 4.443 10.665 90.00 90.00 90.00
Fractional coordinates of all 10 atoms:
Sr 0.000 0.500 0.244
Sr 0.500 0.000 0.756
Cd 0.000 0.000 0.500
Ge 0.000 0.000 0.000
Ge 0.000 0.500 0.643
Ge 0.500 0.000 0.357
Ge 0.500 0.500 0.000
Pd 0.000 0.500 0.879
Pd 0.500 0.000 0.121
Pd 0.500 0.500 0.500

Properties
Energy of formation, meV/atom: -591
Space-group type: No. 115


Record 7
First-principles (PBE-GGA) data for a relaxed Sr2CdGePd6 crystal, as listed in Alexandria via LeMat-Bulk.

Lattice parameters (Å, degrees): 6.702 6.704 6.868 60.91 60.90 60.05
Fractional coordinates of all 10 atoms:
Sr 0.205 0.206 0.385
Sr 0.795 0.794 0.615
Cd 0.500 0.500 0.500
Ge 0.000 0.000 0.000
Pd 0.162 0.320 0.882
Pd 0.320 0.635 0.883
Pd 0.365 0.839 0.117
Pd 0.635 0.161 0.883
Pd 0.680 0.365 0.117
Pd 0.838 0.680 0.118

Properties
Energy of formation, meV/atom: -507
Space-group type: No. 2


Record 8
First-principles (PBE-GGA) data for a relaxed Sr2CdGe3Pd4 crystal, as listed in Alexandria via LeMat-Bulk.

Lattice parameters (Å, degrees): 4.465 4.465 10.533 90.00 90.00 90.00
Fractional coordinates of all 10 atoms:
Sr 0.000 0.500 0.245
Sr 0.500 0.000 0.755
Cd 0.000 0.000 0.500
Ge 0.000 0.500 0.883
Ge 0.500 0.000 0.117
Ge 0.500 0.500 0.500
Pd 0.000 0.000 0.000
Pd 0.000 0.500 0.646
Pd 0.500 0.000 0.354
Pd 0.500 0.500 0.000

Properties
Energy of formation, meV/atom: -653
Space-group type: No. 115


| no. | N(E_F) (states/eV/cell) |
| --- | --- |
| 1 | 9.3 |
| 2 | 5.7 |
| 3 | 3.1 |
| 4 | 10.1 |
| 5 | 4.3 |
| 6 | 4.6 |
| 7 | 2.8 |
| 8 | 5.4 |